Pm3TmTh PBE relaxed; total DFT energy (no corrections) = -4.81 eV/atom; calculated formation energy = 0.42 eV/atom; space-group type = Amm2, No. 38; crystal system = orthorhombic
1.0
3.438 0.000 0.000
0.000 8.615 -2.031
0.000 -4.962 7.330
Tm Pm Th
1 3 1
Cartesian
1.719 -4.240 6.832
0.000 -1.920 5.233
1.719 -0.557 2.433
1.719 1.182 4.955
0.000 2.831 1.957